{
  "formula": "Rb3AgH",
  "functional": "meta-GGA SCAN",
  "state": "PBEsol geometry",
  "lattice_angstrom": [[-4.485, 2.778, -2.014], [-2.830, -4.870, -0.415], [-1.941, 0.679, 5.260]],
  "species": ["H", "Ag", "Rb", "Rb", "Rb"],
  "frac_coords": [[0.000, 0.000, 0.000], [0.500, 0.500, 0.500], [0.000, 0.500, 0.000], [0.000, 0.000, 0.500], [0.500, 0.000, 0.000]],
  "total_magnetization_mub_per_cell": 0.6,
  "dft_energy_ev_per_atom": -19.41
}